VASP calculation (PBE-GGA) on crystalline In2SnBi2 at its relaxed geometry.

abc: 4.5728 4.5728 15.4562
angles: 90.00 90.00 90.00
Closest atoms and distances in Å follow each position.
Space group I4/mmm (No. 139)
One atom of each set of equivalent atoms:
In (0.0000, 0.0000, 0.0951) [4 per cell]  1 In 2.94
Sn (0.0000, 0.0000, 0.5000) [2 per cell]  8 In 3.55
Bi (0.0000, 0.5000, 0.2500) [4 per cell]  4 Bi 3.23, 4 In 3.31

Summary:
* formation enthalpy at 0 K: 0.22 eV/atom
* relative energy among the computed polymorphs: 189 meV per atom